Entry 1:
A relaxed structure of U6Tl3O20, computed with PBE.

a = 11.461 Å, b = 11.461 Å, c = 11.461 Å
α = 90.00°, β = 90.00°, γ = 90.00°
Space group Fm-3m (No. 225)
Unique sites:
U (0.000, 0.000, 0.234)
Tl (0.000, 0.000, 0.500)
Tl (0.250, 0.250, 0.250)
O (0.000, 0.160, 0.340)
O (0.111, 0.111, 0.111)

## Properties
Spin magnetization = 0.00 μB per cell
Formation energy (no corrections) = -2.412 eV/atom

Entry 2:
A relaxed structure of GaC, computed with PBE.

a = 8.0402 Å, b = 8.0402 Å, c = 3.3430 Å
α = 90.00°, β = 90.00°, γ = 120.00°
Space group P6_3/m (No. 176)
Unique sites:
Ga (0.0963, 0.6836, 0.2500)
C (0.0638, 0.3987, 0.2500)

## Properties
Spin magnetization = 0.00 μB per cell
ΔE to the lowest computed polymorph = 845 meV per atom
Formation energy = 1.09 eV/atom

Entry 3:
A relaxed structure of BaDy4S6, computed with PBE.

a = 3.989 Å, b = 13.028 Å, c = 20.454 Å
α = 90.00°, β = 90.00°, γ = 90.00°
Space group Cmcm (No. 63)
Unique sites:
Ba (0.000, 0.158, 0.250)
Dy (0.000, 0.096, 0.627)
Dy (0.000, 0.363, 0.540)
S (0.000, 0.000, 0.000)
S (0.000, 0.161, 0.750)
S (0.000, 0.268, 0.085)
S (0.000, 0.461, 0.656)

## Properties
Spin magnetization = 0.00 μB per cell
Formation energy (no corrections) = -2.067 eV/atom

Entry 4:
A relaxed structure of AcNd2Pt2, computed with PBE.

a = 14.989 Å, b = 4.383 Å, c = 11.917 Å
α = 90.00°, β = 127.05°, γ = 90.00°
Space group C2/m (No. 12)
Unique sites:
Ac (0.148, 0.000, 0.042)
Nd (0.016, 0.500, 0.681)
Nd (0.232, 0.000, 0.613)
Pt (0.104, 0.000, 0.288)
Pt (0.179, 0.000, 0.810)

## Properties
Spin magnetization = 0.00 μB per cell
Formation energy = -0.89 eV/atom

Entry 5:
A relaxed structure of Tb2Ho3Cd2, computed with PBE.

a = 5.3678 Å, b = 5.3678 Å, c = 23.8175 Å
α = 90.00°, β = 90.00°, γ = 120.00°
Space group R-3m (No. 166, hexagonal axes)
Unique sites:
Tb (0.0000, 0.0000, 0.0746)
Ho (0.0000, 0.0000, 0.3439)
Ho (0.0000, 0.0000, 0.5000)
Cd (0.0000, 0.0000, 0.2122)

## Properties
Spin magnetization = 0.00 μB per cell
ΔE to the lowest computed polymorph = 0 meV per atom
Formation energy = -0.15 eV/atom

Entry 6:
A relaxed structure of AlCuP2, computed with PBE.

a = 3.572 Å, b = 3.865 Å, c = 8.905 Å
α = 90.00°, β = 90.00°, γ = 90.00°
Space group Cmm2 (No. 35)
Unique sites:
Al (0.000, 0.000, 0.000)
Cu (0.000, 0.500, 0.210)
P (0.000, 0.000, 0.416)
P (0.000, 0.500, 0.776)

## Properties
Spin magnetization = 0.00 μB per cell
Formation energy = 0.28 eV/atom

Entry 7:
A relaxed structure of KScZn2, computed with PBE.

a = 3.5653 Å, b = 3.5653 Å, c = 28.5827 Å
α = 90.00°, β = 90.00°, γ = 120.00°
Space group R-3m (No. 166, hexagonal axes)
Unique sites:
K (0.0000, 0.0000, 0.0000)
Sc (0.0000, 0.0000, 0.5000)
Zn (0.0000, 0.0000, 0.2350)

## Properties
Spin magnetization = 0.00 μB per cell
ΔE to the lowest computed polymorph = 188 meV per atom
Formation energy = 0.18 eV/atom

Entry 8:
A relaxed structure of Ba2H4IrS2, computed with PBE.

a = 6.204 Å, b = 6.204 Å, c = 8.666 Å
α = 90.00°, β = 90.00°, γ = 90.00°
Space group I4/mmm (No. 139)
Unique sites:
Ba (0.000, 0.500, 0.250)
H (0.194, 0.194, 0.000)
Ir (0.000, 0.000, 0.000)
S (0.000, 0.000, 0.273)

## Properties
Spin magnetization = 1.90 μB per cell
E = -4.62 eV per atom

Entry 9:
A relaxed structure of Sm2CdP, computed with PBE.

a = 4.0252 Å, b = 4.0252 Å, c = 23.7603 Å
α = 90.00°, β = 90.00°, γ = 120.00°
Space group R-3m (No. 166, hexagonal axes)
Unique sites:
Sm (0.0000, 0.0000, 0.2346)
Cd (0.0000, 0.0000, 0.0000)
P (0.0000, 0.0000, 0.5000)

## Properties
Spin magnetization = 0.00 μB per cell
Formation energy = -0.87 eV/atom

Entry 10:
A relaxed structure of Zn2RuW, computed with PBE.

a = 4.203 Å, b = 4.203 Å, c = 6.560 Å
α = 90.00°, β = 90.00°, γ = 90.00°
Space group I-4m2 (No. 119)
Unique sites:
Zn (0.000, 0.000, 0.000)
Zn (0.000, 0.500, 0.250)
Ru (0.000, 0.500, 0.750)
W (0.000, 0.000, 0.500)

## Properties
Spin magnetization = 0.00 μB per cell
ΔE to the lowest computed polymorph = 87 meV per atom
Formation energy = 0.11 eV/atom

Entry 11:
A relaxed structure of Th3Sn2Au8, computed with PBE.

a = 5.3510 Å, b = 5.3510 Å, c = 40.2960 Å
α = 90.00°, β = 90.00°, γ = 120.00°
Space group R-3m (No. 166, hexagonal axes)
Unique sites:
Th (0.0000, 0.0000, 0.0000)
Th (0.0000, 0.0000, 0.2382)
Sn (0.0000, 0.0000, 0.3835)
Au (0.0000, 0.0000, 0.3113)
Au (0.0019, 0.5009, 0.8006)

## Properties
Spin magnetization = 0.00 μB per cell
Formation energy = -0.32 eV/atom

Entry 12:
A relaxed structure of HgIr3, computed with PBE.

a = 4.793 Å, b = 4.793 Å, c = 2.812 Å
α = 90.00°, β = 90.00°, γ = 90.00°
Space group P4/mmm (No. 123)
Unique sites:
Hg (0.000, 0.000, 0.000)
Ir (0.000, 0.500, 0.500)
Ir (0.500, 0.500, 0.000)

## Properties
Spin magnetization = 0.01 μB per cell
Formation energy = 0.63 eV/atom

> Look up the spin magnetization of the eighth one.

1.90 μB per cell